[1]
Compound: PmYPd2
Source: Alexandria
Functional: PBE
Structure: relaxed

Results
Energy above the most stable polymorph in this dataset = 20 kJ/mol of formula units

Cell: 5.040 5.040 5.040 Å, 60.00 60.00 60.00°
Sites, in units of the cell vectors:
Pd: 0.250 0.250 0.250
Pd: 0.750 0.750 0.750
Pm: 0.000 0.000 0.000
Y: 0.500 0.500 0.500


[2]
Compound: CeAl2Cr
Source: Alexandria
Functional: PBE
Structure: relaxed

Cell: 3.043 3.043 7.717 Å, 90.00 90.00 90.00°
Sites, in units of the cell vectors:
Al: 0.000 0.000 0.807
Al: 0.000 0.000 0.193
Ce: 0.500 0.500 0.500
Cr: 0.500 0.500 0.000


[3]
Compound: CuIrW2
Source: Alexandria
Functional: PBE
Structure: relaxed

Results
Energy above the most stable polymorph in this dataset = 77 kJ/mol of formula units

Cell: 4.389 4.389 4.389 Å, 60.00 60.00 60.00°
Sites, in units of the cell vectors:
Cu: 0.500 0.500 0.500
Ir: 0.250 0.250 0.250
W: 0.000 0.000 0.000
W: 0.750 0.750 0.750


[4]
Compound: Tm2Ga3Ni
Source: Alexandria
Functional: PBE
Structure: relaxed

Cell: 3.546 4.301 7.490 Å, 90.00 90.00 90.00°
Sites, in units of the cell vectors:
Ga: 0.500 0.500 0.654
Ga: 0.500 0.000 0.835
Ga: 0.500 0.000 0.175
Tm: 0.000 0.000 0.484
Tm: 0.000 0.500 0.022
Ni: 0.500 0.500 0.330


no.,E_tot (eV for the cell shown),energy of formation from the pure elements (meV per atom)
1,-24.85,-812
2,-23.71,-166
3,-37.95,229
4,-27.59,-630